# 1
Density functional theory data (SCAN) for MgCdSCl2 at its PBEsol-relaxed geometry.

Results
ρ   3.57 g/cm³
SG   P4/mmm, No. 123
DOS(E_F)   1.93 states/eV per cell
Formation energy without anion corrections   -4.7 eV/f.u.

abc: 4.624 4.624 5.207
angles: 90.00 90.00 90.00
Sites, in units of the cell vectors:
Mg (0.000, 0.000, 0.000)
Cl (0.500, 0.000, 0.000)
Cl (0.000, 0.500, 0.000)
S (0.000, 0.000, 0.500)
Cd (0.500, 0.500, 0.500)


# 2
Density functional theory data (SCAN) for MgCdSeCl2 at its PBEsol-relaxed geometry.

Results
ρ   2.02 g/cm³
SG   P4/mmm, No. 123
DOS(E_F)   3.01 states/eV per cell
Formation energy without anion corrections   -3.7 eV/f.u.

abc: 4.477 4.477 11.754
angles: 90.00 90.00 90.00
Sites, in units of the cell vectors:
Cl (0.500, 0.000, 0.000)
Cl (0.000, 0.500, 0.000)
Cd (0.000, 0.000, 0.500)
Se (0.500, 0.500, 0.500)
Mg (0.000, 0.000, 0.000)


# 3
Density functional theory data (SCAN) for MnCdCl at its PBEsol-relaxed geometry.

Results
ρ   5.80 g/cm³
SG   I4mm, No. 107
ΔE to the lowest computed polymorph   0.28 eV/f.u.
DOS(E_F)   1.45 states/eV per cell
Formation energy without anion corrections   -1.2 eV/f.u.

abc: 3.108 3.108 6.404
angles: 104.04 104.04 90.00
Sites, in units of the cell vectors:
Cl (0.707, 0.707, 0.415)
Cd (0.972, 0.972, 0.944)
Mn (0.321, 0.321, 0.641)


# 4
Density functional theory data (SCAN) for MnCdCl at its PBEsol-relaxed geometry.

Results
ρ   5.79 g/cm³
SG   P3m1, No. 156
ΔE to the lowest computed polymorph   0.00 eV/f.u.
DOS(E_F)   0.63 states/eV per cell
Formation energy without anion corrections   -1.4 eV/f.u.

abc: 3.243 3.243 6.389
angles: 90.00 90.00 120.00
Sites, in units of the cell vectors:
Cl (0.667, 0.333, 0.602)
Mn (0.333, 0.667, 0.358)
Cd (0.000, 0.000, 0.040)


These records have magnetization values of 0.0, 0.1, 4.2, 4.1 μB/f.u., in the order they appear.